No. 1
First-principles (GGA-PBE) data for a geometry-optimized LaPm2Pt2 structure, as listed in Alexandria.

Structure (POSCAR):
```
LaPm2Pt2
1.0
4.648 0.000 0.000
0.000 5.698 -0.882
0.000 -0.054 10.794
La Pm Pt
2 4 4
direct
0.250 0.449 0.212
0.750 0.551 0.788
0.250 0.114 0.885
0.750 0.226 0.466
0.250 0.774 0.534
0.750 0.886 0.115
0.750 0.694 0.368
0.750 0.337 0.026
0.250 0.306 0.632
0.250 0.663 0.974
```

## Properties
Total DFT energy (no corrections)   -62.6 eV for the cell shown
Spin magnetization   0.00 μB per cell
Crystal system   monoclinic
Energy of formation from the pure elements   -958 meV/atom
Polymorph energy (0 for the lowest one)   0.0 meV/atom

---

No. 2
First-principles (GGA-PBE) data for a geometry-optimized LaPm3Pt structure, as listed in Alexandria.

Structure (POSCAR):
```
LaPm3Pt
1.0
5.369 0.000 0.000
0.000 6.644 0.409
0.000 0.527 8.760
La Pm Pt
2 6 2
direct
0.476 0.402 0.690
0.976 0.951 0.212
0.476 0.288 0.160
0.476 0.842 0.934
0.976 0.462 0.386
0.976 0.065 0.742
0.976 0.511 0.968
0.476 0.890 0.515
0.975 0.661 0.651
0.475 0.692 0.251
```

## Properties
Total DFT energy (no corrections)   -54.7 eV for the cell shown
Spin magnetization   0.00 μB per cell
Crystal system   monoclinic
Energy of formation from the pure elements   -422 meV/atom
Polymorph energy (0 for the lowest one)   0.0 meV/atom